Entry 1:
Here is an optimized crystal structure of MgZn2Ir from OQMD via LeMat-Bulk. Energies are from PBE.

```
MgZn2Ir
1.0
4.335 0.000 0.000
-2.167 3.754 0.000
0.000 0.000 8.194
Mg Zn Ir
2 4 2
Cartesian
0.000 2.503 2.049
2.167 1.251 6.146
0.000 2.503 4.840
0.000 2.503 7.452
2.167 1.251 0.743
2.167 1.251 3.355
0.000 0.000 2.049
0.000 0.000 6.146
```

Total magnetic moment in μB/cell: 0.00
Raw total energy in eV per cell: -24.6

Entry 2:
Here is an optimized crystal structure of MgZn2Ir from OQMD via LeMat-Bulk. Energies are from PBE.

```
MgZn2Ir
1.0
7.234 0.000 0.000
0.000 7.436 0.000
0.000 0.000 5.061
Mg Zn Ir
4 8 4
Cartesian
0.235 1.859 0.528
3.382 5.577 3.059
3.852 1.859 2.002
6.999 5.577 4.533
1.278 0.412 3.061
1.278 3.306 3.061
2.339 4.130 0.531
2.339 7.024 0.531
4.895 0.412 4.530
4.895 3.306 4.530
5.956 4.130 2.000
5.956 7.024 2.000
0.869 5.577 2.020
2.748 1.859 4.550
4.485 5.577 0.511
6.365 1.859 3.041
```

Total magnetic moment in μB/cell: 0.00
Raw total energy in eV per cell: -56.1

Entry 3:
Here is an optimized crystal structure of MgZn2Ir from OQMD via LeMat-Bulk. Energies are from PBE.

```
MgZn2Ir
1.0
4.261 0.000 0.000
-2.131 3.690 0.000
0.000 0.000 8.263
Mg Zn Ir
2 4 2
Cartesian
0.000 2.460 2.066
2.131 1.230 6.197
0.000 2.460 4.859
0.000 2.460 7.535
2.131 1.230 0.728
2.131 1.230 3.404
0.000 0.000 0.000
0.000 0.000 4.131
```

Total magnetic moment in μB/cell: 0.00
Raw total energy in eV per cell: -26.6

Entry 4:
Here is an optimized crystal structure of MgZn2Ir from OQMD via LeMat-Bulk. Energies are from PBE.

```
MgZn2Ir
1.0
-2.197 2.197 3.066
2.197 -2.197 3.066
2.197 2.197 -3.066
Mg Zn Ir
1 2 1
Cartesian
0.000 0.000 0.000
2.197 0.000 1.533
0.000 2.197 1.533
0.000 0.000 3.066
```

Total magnetic moment in μB/cell: 0.00
Raw total energy in eV per cell: -14.0

Entry 5:
Here is an optimized crystal structure of MgZn2Ir from OQMD via LeMat-Bulk. Energies are from PBE.

```
MgZn2Ir
1.0
3.889 0.000 0.000
0.000 3.889 0.000
0.000 0.000 3.917
Mg Zn Ir
1 2 1
Cartesian
0.000 0.000 0.000
0.000 1.945 1.959
1.945 0.000 1.959
1.945 1.945 0.000
```

Total magnetic moment in μB/cell: 0.01
Raw total energy in eV per cell: -13.9

Entry 6:
Here is an optimized crystal structure of Mg2Zn3Ir from OQMD via LeMat-Bulk. Energies are from PBE.

```
Mg2Zn3Ir
1.0
5.096 0.000 0.000
-2.548 4.413 0.000
0.000 0.000 8.647
Mg Zn Ir
4 6 2
Cartesian
0.000 2.942 0.378
0.000 2.942 3.945
2.548 1.471 4.701
2.548 1.471 8.268
0.000 1.483 6.485
-1.263 3.672 6.485
1.285 0.742 2.162
1.263 3.672 6.485
3.811 0.742 2.162
2.548 2.930 2.162
0.000 0.000 0.000
0.000 0.000 4.323
```

Total magnetic moment in μB/cell: 0.00
Raw total energy in eV per cell: -35.2

Entry 7:
Here is an optimized crystal structure of MgZn2Ir from OQMD via LeMat-Bulk. Energies are from PBE.

```
MgZn2Ir
1.0
0.000 3.103 3.103
3.103 0.000 3.103
3.103 3.103 0.000
Mg Zn Ir
1 2 1
Cartesian
0.000 0.000 0.000
3.103 3.103 3.103
4.655 4.655 4.655
1.552 1.552 1.552
```

Total magnetic moment in μB/cell: 0.00
Raw total energy in eV per cell: -13.7

Entry 8:
Here is an optimized crystal structure of MgZn2Ir from OQMD via LeMat-Bulk. Energies are from PBE.

```
MgZn2Ir
1.0
4.359 0.000 0.000
-2.179 3.775 0.000
0.000 0.000 7.485
Mg Zn Ir
2 4 2
Cartesian
0.000 0.000 0.000
0.000 0.000 3.742
0.000 2.516 0.703
0.000 2.516 3.039
2.179 1.258 4.445
2.179 1.258 6.782
0.000 2.516 5.613
2.179 1.258 1.871
```

Total magnetic moment in μB/cell: 0.01
Raw total energy in eV per cell: -26.9

Entry 9:
Here is an optimized crystal structure of MgZnIr from OQMD via LeMat-Bulk. Energies are from PBE.

```
MgZnIr
1.0
4.318 0.000 0.000
0.000 1.544 6.754
0.000 -1.544 6.754
Mg Zn Ir
2 2 2
Cartesian
0.000 0.000 0.000
2.159 0.000 2.729
0.000 0.000 9.051
2.159 0.000 11.832
0.000 0.000 4.466
2.159 0.000 7.286
```

Total magnetic moment in μB/cell: 0.00
Raw total energy in eV per cell: -25.3

Entry 10:
Here is an optimized crystal structure of MgZrZn2Ir4 from OQMD via LeMat-Bulk. Energies are from PBE.

```
MgZrZn2Ir4
1.0
4.422 0.000 0.000
0.000 4.422 0.000
0.000 0.000 6.225
Mg Zr Zn Ir
1 1 2 4
Cartesian
0.000 0.000 0.000
2.211 2.211 3.112
0.000 0.000 3.112
2.211 2.211 0.000
0.000 2.211 1.501
0.000 2.211 4.724
2.211 0.000 1.501
2.211 0.000 4.724
```

Total magnetic moment in μB/cell: 0.00
Raw total energy in eV per cell: -51.6

Entry 11:
Here is an optimized crystal structure of Mg2ZrIr from OQMD via LeMat-Bulk. Energies are from PBE.

```
Mg2ZrIr
1.0
0.000 3.304 3.304
3.304 0.000 3.304
3.304 3.304 0.000
Mg Zr Ir
2 1 1
Cartesian
0.000 0.000 0.000
1.652 1.652 1.652
3.304 3.304 3.304
4.956 4.956 4.956
```

Total magnetic moment in μB/cell: 0.50
Raw total energy in eV per cell: -22.0

Entry 12:
Here is an optimized crystal structure of Mo2Ir from OQMD via LeMat-Bulk. Energies are from PBE.

```
Mo2Ir
1.0
0.000 5.638 5.638
5.638 0.000 5.638
5.638 5.638 0.000
Mo Ir
4 2
Cartesian
0.000 0.000 0.000
2.819 2.819 0.000
2.819 0.000 2.819
0.000 2.819 2.819
1.409 1.409 1.409
9.866 9.866 9.866
```

Total magnetic moment in μB/cell: 13.41
Energy relative to the lowest polymorph listed for this composition in kJ/mol of atoms: 288.0
Raw total energy in eV per cell: -41.9
ΔE_f in meV/atom: 3203

The highest total magnetic moment belongs to which entry?
Mo2Ir

Which of these has the highest total magnetic moment?
Mo2Ir

Look up the raw total energy of the ninth one.
-25.3 eV per cell